1.
! Zn2SiHW PBE-GGA optimized geometry; values from VASP
&SYSTEM
  ibrav = 0, nat = 5, ntyp = 4
/
ATOMIC_SPECIES
Zn 65.41 Zn.upf
H 1.01 H.upf
Si 28.09 Si.upf
W 183.84 W.upf
ATOMIC_POSITIONS crystal
Zn 0.500 0.000 0.000
Zn 0.000 0.000 0.500
H 0.000 0.000 0.000
Si 0.500 0.500 0.500
W 0.000 0.500 0.000
CELL_PARAMETERS angstrom
3.730 0.000 0.000
0.000 4.386 0.000
0.000 0.000 3.730
! VASP energy: -21.87 eV/f.u.
! SG: No. 123

---

2.
! ZrSiH2W PBE-GGA optimized geometry; values from VASP
&SYSTEM
  ibrav = 0, nat = 5, ntyp = 4
/
ATOMIC_SPECIES
H 1.01 H.upf
W 183.84 W.upf
Zr 91.22 Zr.upf
Si 28.09 Si.upf
ATOMIC_POSITIONS crystal
H 0.000 0.000 0.500
H 0.500 0.000 0.000
W 0.500 0.500 0.500
Zr 0.000 0.000 0.000
Si 0.000 0.500 0.000
CELL_PARAMETERS angstrom
-0.226 2.378 2.655
3.887 -2.637 2.693
2.476 2.019 -1.597
! VASP energy: -31.21 eV/f.u.
! SG: No. 123

---

3.
! YSi3H PBE-GGA optimized geometry; values from VASP
&SYSTEM
  ibrav = 0, nat = 5, ntyp = 3
/
ATOMIC_SPECIES
H 1.01 H.upf
Si 28.09 Si.upf
Y 88.91 Y.upf
ATOMIC_POSITIONS crystal
H 0.500 0.500 0.500
Si 0.000 0.000 0.500
Si 0.500 0.000 0.000
Si 0.000 0.500 0.000
Y 0.000 0.000 0.000
CELL_PARAMETERS angstrom
-1.126 1.471 -5.098
2.935 -4.169 -1.851
-4.420 -3.143 0.069
! VASP energy: -18.12 eV/f.u.
! SG: No. 221

---

4.
! Y3SiH PBE-GGA optimized geometry; values from VASP
&SYSTEM
  ibrav = 0, nat = 5, ntyp = 3
/
ATOMIC_SPECIES
Y 88.91 Y.upf
H 1.01 H.upf
Si 28.09 Si.upf
ATOMIC_POSITIONS crystal
Y 0.500 0.000 0.000
Y 0.000 0.500 0.000
Y 0.000 0.000 0.500
H 0.000 0.000 0.000
Si 0.500 0.500 0.500
CELL_PARAMETERS angstrom
-0.562 3.338 3.225
-3.255 -2.599 2.123
3.308 -1.990 2.636
! VASP energy: -29.82 eV/f.u.
! SG: No. 221

---

5.
! YSi3H PBE-GGA optimized geometry; values from VASP
&SYSTEM
  ibrav = 0, nat = 5, ntyp = 3
/
ATOMIC_SPECIES
Si 28.09 Si.upf
H 1.01 H.upf
Y 88.91 Y.upf
ATOMIC_POSITIONS crystal
Si 0.500 0.000 0.000
Si 0.000 0.000 0.500
Si 0.000 0.500 0.000
H 0.000 0.000 0.000
Y 0.500 0.500 0.500
CELL_PARAMETERS angstrom
-4.126 -0.696 -0.262
0.029 -1.625 3.865
-0.743 3.802 1.604
! VASP energy: -26.08 eV/f.u.
! SG: No. 221

---

6.
! Y5Si2H PBE-GGA optimized geometry; values from VASP
&SYSTEM
  ibrav = 0, nat = 8, ntyp = 3
/
ATOMIC_SPECIES
Y 88.91 Y.upf
Si 28.09 Si.upf
H 1.01 H.upf
ATOMIC_POSITIONS crystal
Y 0.251 0.251 0.000
Y 0.251 0.749 0.000
Y 0.755 0.755 0.511
Y 0.749 0.251 0.000
Y 0.749 0.749 0.000
Si 0.251 0.751 0.502
Si 0.751 0.251 0.502
H 0.021 0.021 0.041
CELL_PARAMETERS angstrom
6.751 -0.007 -0.003
-0.007 6.751 -0.002
-3.373 -3.373 4.152
! VASP energy: -48.60 eV/f.u.
! SG: No. 42

---

7.
! Y2SiH2 PBE-GGA optimized geometry; values from VASP
&SYSTEM
  ibrav = 0, nat = 5, ntyp = 3
/
ATOMIC_SPECIES
Y 88.91 Y.upf
H 1.01 H.upf
Si 28.09 Si.upf
ATOMIC_POSITIONS crystal
Y 0.639 0.639 0.722
Y 0.361 0.361 0.278
H 0.250 0.750 0.500
H 0.750 0.250 0.500
Si 0.000 0.000 0.000
CELL_PARAMETERS angstrom
3.602 0.000 0.000
0.000 3.602 0.000
1.801 1.801 6.045
! VASP energy: -28.44 eV/f.u.
! SG: No. 139

---

8.
! Y5Si3H PBE-GGA optimized geometry; values from VASP
&SYSTEM
  ibrav = 0, nat = 18, ntyp = 3
/
ATOMIC_SPECIES
Y 88.91 Y.upf
Si 28.09 Si.upf
H 1.01 H.upf
ATOMIC_POSITIONS crystal
Y 0.750 0.000 0.750
Y 0.250 0.250 0.750
Y 0.250 0.000 0.250
Y 0.333 0.667 0.000
Y 0.000 0.750 0.750
Y 0.750 0.750 0.250
Y 0.333 0.667 0.500
Y 0.667 0.333 0.500
Y 0.000 0.250 0.250
Y 0.667 0.333 0.000
Si 0.611 0.000 0.250
Si 0.389 0.389 0.250
Si 0.389 0.000 0.750
Si 0.611 0.611 0.750
Si 0.000 0.389 0.750
Si 0.000 0.611 0.250
H 0.000 0.000 0.000
H 0.000 0.000 0.500
CELL_PARAMETERS angstrom
8.465 0.000 0.000
-4.233 7.331 0.000
0.000 0.000 6.263
! VASP energy: -58.59 eV/f.u.
! SG: No. 193

---

9.
! Y2SiH2 PBE-GGA optimized geometry; values from VASP
&SYSTEM
  ibrav = 0, nat = 10, ntyp = 3
/
ATOMIC_SPECIES
Si 28.09 Si.upf
Y 88.91 Y.upf
H 1.01 H.upf
ATOMIC_POSITIONS crystal
Si 0.000 0.000 0.000
Si 0.500 0.500 0.000
Y 0.843 0.657 0.000
Y 0.343 0.843 0.000
Y 0.657 0.157 0.000
Y 0.157 0.343 0.000
H 0.604 0.896 0.500
H 0.396 0.104 0.500
H 0.104 0.604 0.500
H 0.896 0.396 0.500
CELL_PARAMETERS angstrom
7.449 0.000 0.000
0.000 7.449 0.000
0.000 0.000 3.062
! VASP energy: -25.27 eV/f.u.
! SG: No. 127

---

10.
! Y3SiH2 PBE-GGA optimized geometry; values from VASP
&SYSTEM
  ibrav = 0, nat = 12, ntyp = 3
/
ATOMIC_SPECIES
Y 88.91 Y.upf
H 1.01 H.upf
Si 28.09 Si.upf
ATOMIC_POSITIONS crystal
Y 0.052 0.817 0.104
Y 0.399 0.648 0.798
Y 0.771 0.776 0.542
Y 0.229 0.224 0.458
Y 0.601 0.352 0.202
Y 0.948 0.183 0.896
H 0.944 0.790 0.888
H 0.056 0.210 0.112
H 0.709 0.406 0.419
H 0.291 0.594 0.581
Si 0.349 0.090 0.699
Si 0.651 0.910 0.301
CELL_PARAMETERS angstrom
-3.956 0.470 -0.110
-0.676 -4.988 2.991
2.709 7.616 7.304
! VASP energy: -34.66 eV/f.u.
! SG: No. 12

---

11.
! Y3Si2H PBE-GGA optimized geometry; values from VASP
&SYSTEM
  ibrav = 0, nat = 12, ntyp = 3
/
ATOMIC_SPECIES
Si 28.09 Si.upf
Y 88.91 Y.upf
H 1.01 H.upf
ATOMIC_POSITIONS crystal
Si 0.338 0.918 0.671
Si 0.334 0.418 0.671
Si 0.662 0.082 0.329
Si 0.666 0.582 0.329
Y 0.165 0.083 0.333
Y 0.168 0.583 0.333
Y 0.475 0.250 0.000
Y 0.525 0.750 0.000
Y 0.835 0.917 0.667
Y 0.832 0.417 0.667
H 0.037 0.250 0.000
H 0.963 0.750 0.000
CELL_PARAMETERS angstrom
5.700 0.000 0.000
0.000 7.970 0.002
-2.850 -1.993 6.018
! VASP energy: -36.75 eV/f.u.
! SG: No. 15

---

12.
! Y12Si3H5 PBE-GGA optimized geometry; values from VASP
&SYSTEM
  ibrav = 0, nat = 80, ntyp = 3
/
ATOMIC_SPECIES
Y 88.91 Y.upf
H 1.01 H.upf
Si 28.09 Si.upf
ATOMIC_POSITIONS crystal
Y 0.117 0.714 0.523
Y 0.691 0.477 0.594
Y 0.477 0.691 0.094
Y 0.594 0.977 0.691
Y 0.617 0.023 0.214
Y 0.809 0.904 0.286
Y 0.904 0.094 0.617
Y 0.286 0.404 0.809
Y 0.309 0.786 0.404
Y 0.714 0.117 0.023
Y 0.477 0.786 0.883
Y 0.904 0.809 0.786
Y 0.023 0.617 0.714
Y 0.094 0.191 0.477
Y 0.691 0.214 0.596
Y 0.286 0.883 0.977
Y 0.383 0.977 0.786
Y 0.977 0.594 0.191
Y 0.523 0.214 0.117
Y 0.117 0.404 0.094
Y 0.094 0.904 0.117
Y 0.404 0.117 0.594
Y 0.214 0.523 0.617
Y 0.214 0.691 0.096
Y 0.906 0.096 0.883
Y 0.596 0.883 0.406
Y 0.883 0.596 0.906
Y 0.404 0.286 0.309
Y 0.309 0.523 0.406
Y 0.977 0.383 0.286
Y 0.523 0.309 0.906
Y 0.883 0.286 0.477
Y 0.714 0.596 0.191
Y 0.191 0.094 0.977
Y 0.594 0.617 0.404
Y 0.096 0.191 0.214
Y 0.906 0.809 0.523
Y 0.596 0.714 0.691
Y 0.406 0.023 0.309
Y 0.406 0.383 0.596
Y 0.383 0.406 0.096
Y 0.786 0.309 0.904
Y 0.617 0.594 0.904
Y 0.096 0.906 0.383
Y 0.786 0.477 0.383
Y 0.191 0.096 0.714
Y 0.809 0.906 0.023
Y 0.023 0.406 0.809
H 0.750 0.625 0.375
H 0.250 0.375 0.625
H 0.500 0.500 0.000
H 0.500 0.000 0.500
H 0.000 0.000 0.500
H 0.875 0.250 0.625
H 0.125 0.750 0.375
H 0.875 0.625 0.750
H 0.000 0.500 0.000
H 0.625 0.750 0.875
H 0.250 0.875 0.125
H 0.500 0.000 0.000
H 0.375 0.125 0.750
H 0.000 0.500 0.500
H 0.750 0.125 0.875
H 0.125 0.375 0.250
H 0.000 0.000 0.000
H 0.375 0.250 0.125
H 0.625 0.875 0.250
H 0.500 0.500 0.500
Si 0.750 0.375 0.125
Si 0.625 0.375 0.750
Si 0.875 0.750 0.125
Si 0.875 0.125 0.250
Si 0.375 0.625 0.250
Si 0.625 0.250 0.375
Si 0.125 0.250 0.875
Si 0.250 0.125 0.375
Si 0.250 0.625 0.875
Si 0.375 0.750 0.625
Si 0.125 0.875 0.750
Si 0.750 0.875 0.625
CELL_PARAMETERS angstrom
13.147 0.000 0.000
-4.382 12.395 0.000
-4.382 -6.197 10.734
! VASP energy: -118.32 eV/f.u.
! SG: No. 230

---

13.
! Y3SiH PBE-GGA optimized geometry; values from VASP
&SYSTEM
  ibrav = 0, nat = 10, ntyp = 3
/
ATOMIC_SPECIES
Si 28.09 Si.upf
Y 88.91 Y.upf
H 1.01 H.upf
ATOMIC_POSITIONS crystal
Si 0.750 0.641 0.773
Si 0.250 0.359 0.227
Y 0.750 0.086 0.340
Y 0.750 0.618 0.374
Y 0.250 0.732 0.044
Y 0.750 0.268 0.956
Y 0.250 0.914 0.660
Y 0.250 0.382 0.626
H 0.750 0.152 0.644
H 0.250 0.848 0.356
CELL_PARAMETERS angstrom
-2.847 -2.088 1.744
4.743 -4.968 1.796
0.799 4.441 6.620
! VASP energy: -30.28 eV/f.u.
! SG: No. 11

---

14.
! YZrSi2H PBE-GGA optimized geometry; values from VASP
&SYSTEM
  ibrav = 0, nat = 5, ntyp = 4
/
ATOMIC_SPECIES
H 1.01 H.upf
Zr 91.22 Zr.upf
Si 28.09 Si.upf
Y 88.91 Y.upf
ATOMIC_POSITIONS crystal
H 0.000 0.000 0.000
Zr 0.500 0.500 0.500
Si 0.000 0.000 0.500
Si 0.500 0.000 0.000
Y 0.000 0.500 0.000
CELL_PARAMETERS angstrom
-2.514 -2.830 -2.314
3.363 -1.812 -1.439
-0.030 -2.793 3.447
! VASP energy: -30.28 eV/f.u.
! SG: No. 123

---

15.
! Zn3SiH PBE-GGA optimized geometry; values from VASP
&SYSTEM
  ibrav = 0, nat = 5, ntyp = 3
/
ATOMIC_SPECIES
H 1.01 H.upf
Si 28.09 Si.upf
Zn 65.41 Zn.upf
ATOMIC_POSITIONS crystal
H 0.000 0.000 0.000
Si 0.500 0.500 0.500
Zn 0.500 0.000 0.000
Zn 0.000 0.000 0.500
Zn 0.000 0.500 0.000
CELL_PARAMETERS angstrom
-3.887 0.318 -1.085
0.377 -3.297 -2.318
-1.066 -2.327 3.136
! VASP energy: -10.63 eV/f.u.
! SG: No. 221

---

16.
! ZnSi3H12 PBE-GGA optimized geometry; values from VASP
&SYSTEM
  ibrav = 0, nat = 32, ntyp = 3
/
ATOMIC_SPECIES
Si 28.09 Si.upf
H 1.01 H.upf
Zn 65.41 Zn.upf
ATOMIC_POSITIONS crystal
Si 0.993 0.622 0.979
Si 0.622 0.406 0.979
Si 0.493 0.906 0.479
Si 0.406 0.993 0.979
Si 0.906 0.122 0.479
Si 0.122 0.493 0.479
H 0.767 0.027 0.544
H 0.364 0.008 0.825
H 0.990 0.490 0.914
H 0.302 0.508 0.325
H 0.508 0.864 0.325
H 0.008 0.802 0.825
H 0.027 0.662 0.544
H 0.802 0.364 0.825
H 0.889 0.168 0.630
H 0.162 0.527 0.044
H 0.527 0.267 0.044
H 0.312 0.889 0.630
H 0.490 0.606 0.914
H 0.864 0.302 0.325
H 0.606 0.990 0.914
H 0.812 0.668 0.130
H 0.990 0.490 0.414
H 0.106 0.990 0.414
H 0.662 0.767 0.544
H 0.490 0.106 0.414
H 0.168 0.312 0.630
H 0.389 0.812 0.130
H 0.668 0.389 0.130
H 0.267 0.162 0.044
Zn 0.955 0.955 0.135
Zn 0.455 0.455 0.635
CELL_PARAMETERS angstrom
2.509 -6.571 4.686
4.117 -6.438 -3.611
8.610 -0.969 1.653
! VASP energy: -56.86 eV/f.u.
! SG: No. 161

---

17.
! ZnSi2H PBE-GGA optimized geometry; values from VASP
&SYSTEM
  ibrav = 0, nat = 8, ntyp = 3
/
ATOMIC_SPECIES
Si 28.09 Si.upf
H 1.01 H.upf
Zn 65.41 Zn.upf
ATOMIC_POSITIONS crystal
Si 0.523 0.125 0.250
Si 0.375 0.477 0.750
Si 0.227 0.625 0.250
Si 0.875 0.773 0.750
H 0.250 0.750 0.500
H 0.500 0.500 0.000
Zn 0.000 0.000 0.000
Zn 0.750 0.250 0.500
CELL_PARAMETERS angstrom
4.183 0.000 0.000
0.000 4.183 0.000
2.091 2.091 6.647
! VASP energy: -13.43 eV/f.u.
! SG: No. 122

---

18.
! ZnSiH PBE-GGA optimized geometry; values from VASP
&SYSTEM
  ibrav = 0, nat = 24, ntyp = 3
/
ATOMIC_SPECIES
Si 28.09 Si.upf
H 1.01 H.upf
Zn 65.41 Zn.upf
ATOMIC_POSITIONS crystal
Si 0.250 0.793 0.106
Si 0.750 0.793 0.394
Si 0.750 0.293 0.106
Si 0.250 0.293 0.394
Si 0.250 0.207 0.606
Si 0.750 0.707 0.606
Si 0.750 0.207 0.894
Si 0.250 0.707 0.894
H 0.250 0.541 0.153
H 0.750 0.959 0.653
H 0.750 0.041 0.153
H 0.250 0.041 0.347
H 0.250 0.959 0.847
H 0.750 0.541 0.347
H 0.750 0.459 0.847
H 0.250 0.459 0.653
Zn 0.750 0.724 0.137
Zn 0.250 0.276 0.863
Zn 0.250 0.724 0.363
Zn 0.250 0.776 0.637
Zn 0.750 0.776 0.863
Zn 0.750 0.276 0.637
Zn 0.250 0.224 0.137
Zn 0.750 0.224 0.363
CELL_PARAMETERS angstrom
-3.794 3.371 0.248
-1.057 -1.604 5.644
6.941 7.557 3.447
! VASP energy: -8.94 eV/f.u.
! SG: No. 64

---

19.
! ZnSi2H8 PBE-GGA optimized geometry; values from VASP
&SYSTEM
  ibrav = 0, nat = 11, ntyp = 3
/
ATOMIC_SPECIES
H 1.01 H.upf
Zn 65.41 Zn.upf
Si 28.09 Si.upf
ATOMIC_POSITIONS crystal
H 0.267 0.937 0.395
H 0.733 0.605 0.063
H 0.739 0.605 0.605
H 0.444 0.851 0.851
H 0.261 0.395 0.395
H 0.267 0.395 0.937
H 0.556 0.149 0.149
H 0.733 0.063 0.605
Zn 0.000 0.000 0.000
Si 0.336 0.220 0.220
Si 0.664 0.780 0.780
CELL_PARAMETERS angstrom
-2.557 0.437 -7.036
-5.283 -0.969 -0.193
-3.496 4.047 -0.531
! VASP energy: -37.92 eV/f.u.
! SG: No. 12